# Cs2Ti2Nb, optimized geometry, DFT PBE
# - Formation enthalpy at 0 K: 2.0266 eV per atom
# - DOS at the Fermi energy: 1.1974 states/eV/atom
# - Calculated total energy: -3.4868 eV/atom
# - Symmetry: P4/mbm
data_Cs2Ti2Nb
_chemical_formula_sum 'Cs4 Ti4 Nb2'
_symmetry_space_group_name_H-M 'P 1'
_symmetry_Int_Tables_number 1
_cell_length_a 9.3883
_cell_length_b 9.3883
_cell_length_c 3.1467
_cell_angle_alpha 90.00
_cell_angle_beta 90.00
_cell_angle_gamma 90.00
loop_
_symmetry_equiv_pos_as_xyz
'x,y,z'
loop_
_atom_site_label
_atom_site_type_symbol
_atom_site_fract_x
_atom_site_fract_y
_atom_site_fract_z
Ti1 Ti 0.8125 0.3125 0.5000
Ti2 Ti 0.3125 0.1875 0.5000
Cs1 Cs 0.8728 0.6272 0.0000
Cs2 Cs 0.3728 0.8728 0.0000
Cs3 Cs 0.6272 0.1272 0.0000
Ti3 Ti 0.6875 0.8125 0.5000
Cs4 Cs 0.1272 0.3728 0.0000
Nb1 Nb 0.5000 0.5000 0.0000
Nb2 Nb 0.0000 0.0000 0.0000
Ti4 Ti 0.1875 0.6875 0.5000